VASP calculation (GGA-PBE) on a geometry-optimized SrZr2As structure. Values from VASP.

The structure in Quantum ESPRESSO input format:
```
&SYSTEM
  ibrav = 0, nat = 4, ntyp = 3
/
ATOMIC_SPECIES
Zr 91.22 Zr.upf
Sr 87.62 Sr.upf
As 74.92 As.upf
ATOMIC_POSITIONS angstrom
Zr 0.000 0.000 0.000
Zr 1.154 2.623 1.566
Sr 2.866 0.000 1.566
As 4.020 2.623 0.000
CELL_PARAMETERS angstrom
5.731 0.000 0.000
2.309 5.245 0.000
-4.020 -2.623 3.132
```

**E_form**: 102 meV per atom
**Spin magnetization**: 0.000 μB per cell